{
  "formula": "Sb2AsAu",
  "functional": "meta-GGA SCAN",
  "state": "single point on PBEsol structure",
  "lattice": [[5.648, 0.000, 0.000], [0.000, 5.648, 0.000], [0.000, 0.000, 2.931]],
  "species": ["Sb", "Sb", "As", "Au"],
  "frac_coords": [[0.000, 0.500, 0.000], [0.500, 0.000, 0.000], [0.000, 0.000, 0.000], [0.500, 0.500, 0.000]],
  "spacegroup": "P4/mmm"
}

{
  "formula": "Sb2AsAu",
  "functional": "meta-GGA SCAN",
  "state": "single point on PBEsol structure",
  "lattice": [[4.053, 0.000, 0.000], [-2.026, 3.510, 0.000], [0.000, 0.000, 19.539]],
  "species": ["Sb", "Sb", "Sb", "Sb", "Sb", "Sb", "As", "As", "As", "Au", "Au", "Au"],
  "frac_coords": [[0.000, 0.000, 0.000], [0.000, 0.000, 0.233], [0.333, 0.667, 0.667], [0.333, 0.667, 0.900], [0.667, 0.333, 0.333], [0.667, 0.333, 0.566], [0.000, 0.000, 0.480], [0.333, 0.667, 0.147], [0.667, 0.333, 0.813], [0.000, 0.000, 0.744], [0.333, 0.667, 0.411], [0.667, 0.333, 0.077]],
  "spacegroup": "R3m"
}

{
  "formula": "Sb2AsAu",
  "functional": "meta-GGA SCAN",
  "state": "single point on PBEsol structure",
  "lattice": [[11.985, 0.000, 0.000], [0.000, 3.957, 0.000], [-1.360, 0.000, 3.916]],
  "species": ["Sb", "Sb", "Sb", "Sb", "As", "As", "Au", "Au"],
  "frac_coords": [[0.000, 0.000, 0.000], [0.232, 0.500, 0.693], [0.500, 0.500, 0.000], [0.732, 0.000, 0.693], [0.471, 0.000, 0.414], [0.971, 0.500, 0.414], [0.242, 0.000, 0.203], [0.742, 0.500, 0.203]],
  "spacegroup": "Cm"
}

no.,E_form (uncorrected) (meV/atom),total magnetic moment (μB per formula unit)
1,9,0.0
2,-28,0.0
3,-70,0.0